Entry 1:
This record from Alexandria via LeMat-Bulk describes crystalline Pm6P2SeBr3 at its relaxed geometry. The functional is GGA-PBE.

Computed properties:
Size of the total moment (μB per cell): 0.00
Final energy (eV/cell): -65.645

Unit cell a=4.202 b=8.594 c=9.587 alpha=105.43 beta=102.66 gamma=90.00
Fractional coordinates of all 12 atoms:
Pm  0.340  0.882  0.679
Pm  0.678  0.556  0.355
Pm  0.660  0.118  0.321
Pm  0.014  0.233  0.029
Pm  0.986  0.767  0.971
Pm  0.322  0.444  0.645
P  0.832  0.664  0.664
P  0.168  0.336  0.336
Se  0.500  0.000  0.000
Br  0.500  0.500  0.000
Br  0.834  0.166  0.667
Br  0.166  0.834  0.333

***

Entry 2:
This record from Alexandria via LeMat-Bulk describes crystalline Pm6P3Se2Br at its relaxed geometry. The functional is GGA-PBE.

Computed properties:
Size of the total moment (μB per cell): 0.00
Final energy (eV/cell): -73.759

Unit cell a=4.135 b=8.473 c=9.426 alpha=104.83 beta=102.67 gamma=90.00
Fractional coordinates of all 12 atoms:
Pm  0.323  0.926  0.646
Pm  0.663  0.595  0.326
Pm  0.677  0.074  0.354
Pm  0.995  0.277  0.990
Pm  0.005  0.723  0.010
Pm  0.337  0.405  0.674
P  0.500  0.500  0.000
P  0.835  0.167  0.670
P  0.165  0.833  0.330
Se  0.835  0.671  0.670
Se  0.165  0.329  0.330
Br  0.500  0.000  0.000

***

Entry 3:
This record from Alexandria via LeMat-Bulk describes crystalline Pm8SiP3Br4 at its relaxed geometry. The functional is GGA-PBE.

Computed properties:
Size of the total moment (μB per cell): 0.00
Final energy (eV/cell): -88.769

Unit cell a=8.332 b=8.706 c=8.332 alpha=118.59 beta=120.00 gamma=90.00
Fractional coordinates of all 16 atoms:
Pm  0.237  0.703  0.967
Pm  0.236  0.702  0.472
Pm  0.267  0.300  0.533
Pm  0.731  0.703  0.967
Pm  0.269  0.297  0.033
Pm  0.733  0.700  0.467
Pm  0.764  0.298  0.528
Pm  0.763  0.297  0.033
Si  0.000  0.500  0.000
P  0.500  0.500  0.000
P  0.500  0.500  0.500
P  0.000  0.500  0.500
Br  0.500  0.000  0.000
Br  0.500  0.000  0.500
Br  0.000  0.000  0.000
Br  0.000  0.000  0.500

***

Entry 4:
This record from Alexandria via LeMat-Bulk describes crystalline Pm4SiPBr2 at its relaxed geometry. The functional is GGA-PBE.

Computed properties:
Size of the total moment (μB per cell): 0.00
Final energy (eV/cell): -43.545

Unit cell a=4.187 b=7.236 c=7.688 alpha=108.33 beta=90.00 gamma=90.00
Fractional coordinates of all 8 atoms:
Pm  0.500  0.238  0.206
Pm  0.500  0.762  0.794
Pm  0.000  0.269  0.797
Pm  0.000  0.731  0.203
Si  0.000  0.000  0.000
P  0.500  0.500  0.000
Br  0.500  0.000  0.500
Br  0.000  0.500  0.500

***

Entry 5:
This record from Alexandria via LeMat-Bulk describes crystalline Pm6SnP2Br3 at its relaxed geometry. The functional is GGA-PBE.

Computed properties:
Size of the total moment (μB per cell): 0.00
Final energy (eV/cell): -64.055

Unit cell a=4.237 b=8.750 c=9.744 alpha=104.64 beta=102.56 gamma=90.00
Fractional coordinates of all 12 atoms:
Pm  0.334  0.874  0.668
Pm  0.678  0.559  0.355
Pm  0.666  0.126  0.332
Pm  0.018  0.254  0.036
Pm  0.982  0.746  0.964
Pm  0.322  0.441  0.645
Sn  0.500  0.000  0.000
P  0.830  0.659  0.660
P  0.170  0.341  0.340
Br  0.500  0.500  0.000
Br  0.835  0.166  0.669
Br  0.165  0.834  0.331

***

Entry 6:
This record from Alexandria via LeMat-Bulk describes crystalline TbPmPBr at its relaxed geometry. The functional is GGA-PBE.

Computed properties:
Size of the total moment (μB per cell): 0.00
Final energy (eV/cell): -22.365

Unit cell a=4.040 b=4.040 c=7.667 alpha=90.00 beta=105.27 gamma=120.00
Fractional coordinates of all 4 atoms:
Tb  0.104  0.950  0.069
Pm  0.501  0.148  0.664
P  0.311  0.553  0.880
Br  0.962  0.379  0.357

***

Copy entry 3 word for word.
This record from Alexandria via LeMat-Bulk describes crystalline Pm8SiP3Br4 at its relaxed geometry. The functional is GGA-PBE.

Computed properties:
Size of the total moment (μB per cell): 0.00
Final energy (eV/cell): -88.769

Unit cell a=8.332 b=8.706 c=8.332 alpha=118.59 beta=120.00 gamma=90.00
Fractional coordinates of all 16 atoms:
Pm  0.237  0.703  0.967
Pm  0.236  0.702  0.472
Pm  0.267  0.300  0.533
Pm  0.731  0.703  0.967
Pm  0.269  0.297  0.033
Pm  0.733  0.700  0.467
Pm  0.764  0.298  0.528
Pm  0.763  0.297  0.033
Si  0.000  0.500  0.000
P  0.500  0.500  0.000
P  0.500  0.500  0.500
P  0.000  0.500  0.500
Br  0.500  0.000  0.000
Br  0.500  0.000  0.500
Br  0.000  0.000  0.000
Br  0.000  0.000  0.500

***

Q: What is the formula in the first record?
A: Pm6P2SeBr3

***

What did the second record say?
This record from Alexandria via LeMat-Bulk describes crystalline Pm6P3Se2Br at its relaxed geometry. The functional is GGA-PBE.

Computed properties:
Size of the total moment (μB per cell): 0.00
Final energy (eV/cell): -73.759

Unit cell a=4.135 b=8.473 c=9.426 alpha=104.83 beta=102.67 gamma=90.00
Fractional coordinates of all 12 atoms:
Pm  0.323  0.926  0.646
Pm  0.663  0.595  0.326
Pm  0.677  0.074  0.354
Pm  0.995  0.277  0.990
Pm  0.005  0.723  0.010
Pm  0.337  0.405  0.674
P  0.500  0.500  0.000
P  0.835  0.167  0.670
P  0.165  0.833  0.330
Se  0.835  0.671  0.670
Se  0.165  0.329  0.330
Br  0.500  0.000  0.000